# 1
Ba2LiCuP2 | the Open Quantum Materials Database | PBE-GGA | optimized geometry; total DFT energy (no corrections) = -4.185 eV per atom; space group = P-6m2, No. 187
1.0
-1.808 -1.799 -3.541
4.334 0.448 0.249
0.616 -8.071 3.786
P Ba Cu Li
2 2 1 1
Cartesian
2.287 -0.301 -1.014
0.548 -5.086 -0.385
0.462 -6.054 2.840
0.154 -2.017 0.946
0.240 -1.050 -2.278
2.595 -4.337 0.879

---

# 2
ZnCdCoW | the Open Quantum Materials Database | PBE-GGA | optimized geometry; total DFT energy (no corrections) = -4.961 eV per atom; energy above the most stable polymorph in this dataset = 0 meV per atom; total moment = 0.0 μB/f.u.; calculated formation energy = 0.596 eV/atom; space group = F-43m, No. 216
1.0
1.691 -4.023 -0.465
-2.645 -3.502 -0.032
-0.640 -2.233 -3.723
Cd Zn Co W
1 1 1 1
Cartesian
-0.398 -2.439 -1.055
0.000 0.000 0.000
-1.195 -7.318 -3.165
-0.797 -4.878 -2.110

---

# 3
Er2BiClO4 | the Open Quantum Materials Database | PBE-GGA | optimized geometry; total DFT energy (no corrections) = -6.806 eV per atom; total moment = 0.0 μB/f.u.; space group = P4/mmm, No. 123
1.0
3.921 0.000 0.000
0.000 3.921 0.000
0.000 0.000 8.933
Er Bi O Cl
2 1 4 1
Cartesian
0.000 0.000 2.369
0.000 0.000 6.564
1.960 1.960 0.000
1.960 0.000 1.497
1.960 0.000 7.436
0.000 1.960 1.497
0.000 1.960 7.436
1.960 1.960 4.466

---

# 4
ThZr | the Open Quantum Materials Database | PBE-GGA | optimized geometry; total DFT energy (no corrections) = -7.890 eV per atom; total moment = 0.0 μB/f.u.; calculated formation energy = 0.091 eV/atom; space group = Amm2, No. 38
1.0
2.916 5.051 0.000
-5.980 6.820 0.000
0.000 0.000 5.565
Th Zr
5 5
Cartesian
0.070 3.450 0.000
-1.198 5.124 2.783
-0.052 6.888 0.000
-3.052 8.456 0.000
-0.885 1.576 2.783
-2.947 11.737 0.000
-4.066 6.701 2.783
-1.106 8.587 2.783
-3.911 10.207 2.783
-3.180 5.136 0.000

---

# 5
NbTlTc2 | the Open Quantum Materials Database | PBE-GGA | optimized geometry; total DFT energy (no corrections) = -7.723 eV per atom; total moment = 0.4 μB/f.u.; space group = F-43m, No. 216
1.0
0.000 3.254 3.254
3.254 0.000 3.254
3.254 3.254 0.000
Tl Tc Nb
1 2 1
Cartesian
3.254 3.254 3.254
0.000 0.000 0.000
4.881 4.881 4.881
1.627 1.627 1.627

---

# 6
HoErMg2Au4 | the Open Quantum Materials Database | PBE-GGA | optimized geometry; total DFT energy (no corrections) = -3.950 eV per atom; total moment = 0.0 μB/f.u.; space group = P4/mmm, No. 123
1.0
-4.035 2.679 0.271
-0.708 -1.528 4.550
3.674 5.296 2.350
Ho Mg Au Er
1 2 4 1
Cartesian
-0.535 3.224 3.586
1.837 2.648 1.175
-2.372 0.576 2.411
-1.100 2.663 0.723
0.564 0.559 2.862
0.739 5.312 1.899
2.402 3.209 4.038
0.000 0.000 0.000

---

# 7
TbSm2P3 | the Open Quantum Materials Database | PBE-GGA | optimized geometry; total DFT energy (no corrections) = -6.633 eV per atom; total moment = 0.0 μB/f.u.; space group = P-3m1, No. 164
1.0
4.081 0.000 0.000
-2.040 3.534 0.000
0.000 0.000 9.987
Sm P Tb
2 3 1
Cartesian
0.000 2.356 8.304
2.040 1.178 1.683
0.000 0.000 0.000
0.000 2.356 3.369
2.040 1.178 6.617
0.000 0.000 4.993

---

# 8
Gd2YCd3CuPd2 | the Open Quantum Materials Database | PBE-GGA | optimized geometry; total DFT energy (no corrections) = -4.212 eV per atom; total moment = 0.0 μB/f.u.; calculated formation energy = -0.597 eV/atom; space group = Amm2, No. 38
1.0
-3.609 -1.337 -0.663
2.899 -6.127 -3.426
-1.339 -0.094 7.475
Pd Gd Y Cd Cu
2 2 1 3 1
Cartesian
-1.732 -2.772 3.515
-0.316 -4.787 -0.128
1.703 -3.600 -2.011
-0.786 -0.057 4.392
0.643 -2.564 1.669
-2.131 -0.699 1.510
-0.631 -5.347 2.713
-1.090 -2.182 -1.168
1.560 -6.220 4.048

---

# 9
BaSmCuSe2S | the Open Quantum Materials Database | PBE-GGA | optimized geometry; total DFT energy (no corrections) = -5.202 eV per atom; total moment = 0.0 μB/f.u.; space group = Cmcm, No. 63
1.0
2.088 -6.987 0.000
2.088 6.987 0.000
0.000 0.000 10.575
Ba S Se Cu Sm
2 2 4 2 2
Cartesian
2.088 -3.311 7.932
2.088 3.311 2.644
2.088 6.098 7.932
2.088 -6.098 2.644
2.088 1.933 9.892
2.088 1.933 5.971
2.088 -1.933 4.604
2.088 -1.933 0.683
2.088 -0.402 2.644
2.088 0.402 7.932
0.000 0.000 0.000
0.000 0.000 5.288

---

# 10
FeReBPt | the Open Quantum Materials Database | PBE-GGA | optimized geometry; total DFT energy (no corrections) = -7.559 eV per atom; energy above the most stable polymorph in this dataset = 236 meV per atom; total moment = 2.5 μB/f.u.; space group = F-43m, No. 216
1.0
-4.119 -0.340 0.476
-2.090 2.882 2.152
-2.546 2.631 -1.976
B Pt Fe Re
1 1 1 1
Cartesian
0.000 0.000 0.000
-2.189 1.293 0.163
-6.566 3.880 0.489
-4.377 2.586 0.326

---

# 11
Zr5AgPb3 | the Open Quantum Materials Database | PBE-GGA | optimized geometry; total DFT energy (no corrections) = -6.548 eV per atom; total moment = 0.0 μB/f.u.; space group = P6_3/mcm, No. 193
1.0
-0.795 -8.625 1.892
8.018 3.779 -0.175
-0.497 1.324 5.828
Zr Pb Ag
10 6 2
Cartesian
5.390 3.709 4.245
5.067 -3.152 2.691
5.080 -0.356 0.514
-0.348 -2.095 1.989
2.132 1.394 1.408
1.659 -0.370 4.854
2.143 -4.490 1.203
1.894 -3.828 4.117
4.832 0.306 3.428
-0.944 -5.205 5.730
2.600 -1.497 2.104
4.870 2.685 1.348
2.651 2.418 4.305
4.126 -2.025 5.440
-0.673 -2.260 5.084
-0.620 -5.041 2.635
0.000 0.000 0.000
-0.248 0.662 2.914

---

# 12
BaCdSO | the Open Quantum Materials Database | PBE-GGA | optimized geometry; total DFT energy (no corrections) = -4.344 eV per atom; space group = Cmc2_1, No. 36
1.0
-4.751 -4.738 -3.485
-2.889 -6.917 -0.993
-4.842 1.335 4.786
O S Ba Cd
2 2 2 2
Cartesian
-7.119 -10.841 -4.157
-2.962 -0.140 2.091
-5.899 -8.233 -2.788
-5.012 -2.520 1.543
-4.888 0.117 3.755
-8.740 -10.120 -2.315
-7.139 -7.100 -0.871
-7.130 -2.727 2.946

---

What is the total DFT energy (no corrections) in the fifth record? -7.723 eV per atom